No. 1
VASP calculation (PBE) on Rb2CuAsBr6 after structural relaxation. Values from VASP.

Cell and atoms, written as Quantum ESPRESSO input:
```
&SYSTEM
  ibrav = 0, nat = 10, ntyp = 4
/
ATOMIC_SPECIES
Rb 85.47 Rb.upf
Cu 63.55 Cu.upf
As 74.92 As.upf
Br 79.90 Br.upf
ATOMIC_POSITIONS crystal
Rb 0.250 0.750 0.500
Rb 0.750 0.250 0.500
Cu 0.000 0.000 0.000
As 0.500 0.500 0.000
Br 0.248 0.248 0.000
Br 0.248 0.248 0.495
Br 0.248 0.752 0.000
Br 0.752 0.248 0.000
Br 0.752 0.752 0.000
Br 0.752 0.752 0.505
CELL_PARAMETERS angstrom
-3.779 3.779 5.356
3.779 -3.779 5.356
3.779 3.779 -5.356
```

symmetry = I4/mmm
uncorrected energy = -29.5 eV for the cell shown


No. 2
VASP calculation (PBE) on Cu6AsS5Br after structural relaxation. Values from VASP.

Cell and atoms, written as Quantum ESPRESSO input:
```
&SYSTEM
  ibrav = 0, nat = 13, ntyp = 4
/
ATOMIC_SPECIES
Cu 63.55 Cu.upf
As 74.92 As.upf
S 32.06 S.upf
Br 79.90 Br.upf
ATOMIC_POSITIONS crystal
Cu 0.230 0.230 0.770
Cu 0.230 0.770 0.230
Cu 0.230 0.770 0.770
Cu 0.770 0.230 0.230
Cu 0.770 0.230 0.770
Cu 0.770 0.770 0.230
As 0.750 0.750 0.750
S 0.000 0.000 0.000
S 0.136 0.621 0.621
S 0.621 0.136 0.621
S 0.621 0.621 0.136
S 0.621 0.621 0.621
Br 0.250 0.250 0.250
CELL_PARAMETERS angstrom
0.000 4.964 4.964
4.964 0.000 4.964
4.964 4.964 0.000
```

symmetry = F-43m
uncorrected energy = -51.2 eV for the cell shown


No. 3
VASP calculation (PBE) on Cu5AsS4Br2 after structural relaxation. Values from VASP.

Cell and atoms, written as Quantum ESPRESSO input:
```
&SYSTEM
  ibrav = 0, nat = 12, ntyp = 4
/
ATOMIC_SPECIES
Cu 63.55 Cu.upf
As 74.92 As.upf
S 32.06 S.upf
Br 79.90 Br.upf
ATOMIC_POSITIONS crystal
Cu 0.000 0.000 0.000
Cu 0.301 0.272 0.619
Cu 0.301 0.619 0.272
Cu 0.699 0.272 0.619
Cu 0.699 0.619 0.272
As 0.500 0.013 0.013
S 0.247 0.241 0.241
S 0.500 0.617 0.976
S 0.500 0.976 0.617
S 0.753 0.241 0.241
Br 0.000 0.524 0.853
Br 0.000 0.853 0.524
CELL_PARAMETERS angstrom
7.142 0.000 0.000
0.000 5.440 2.940
0.000 -5.440 2.940
```

symmetry = Amm2
uncorrected energy = -45.1 eV for the cell shown


No. 4
VASP calculation (PBE) on Tl2CuAsBr6 after structural relaxation. Values from VASP.

Cell and atoms, written as Quantum ESPRESSO input:
```
&SYSTEM
  ibrav = 0, nat = 10, ntyp = 4
/
ATOMIC_SPECIES
Tl 204.38 Tl.upf
Cu 63.55 Cu.upf
As 74.92 As.upf
Br 79.90 Br.upf
ATOMIC_POSITIONS crystal
Tl 0.250 0.250 0.250
Tl 0.750 0.750 0.750
Cu 0.000 0.000 0.000
As 0.500 0.500 0.500
Br 0.247 0.247 0.753
Br 0.247 0.753 0.247
Br 0.247 0.753 0.753
Br 0.753 0.247 0.247
Br 0.753 0.247 0.753
Br 0.753 0.753 0.247
CELL_PARAMETERS angstrom
0.000 5.302 5.302
5.302 0.000 5.302
5.302 5.302 0.000
```

symmetry = Fm-3m
uncorrected energy = -28.4 eV for the cell shown


No. 5
VASP calculation (PBE) on Dy2AsBrF after structural relaxation. Values from VASP.

Cell and atoms, written as Quantum ESPRESSO input:
```
&SYSTEM
  ibrav = 0, nat = 5, ntyp = 4
/
ATOMIC_SPECIES
Dy 162.50 Dy.upf
As 74.92 As.upf
Br 79.90 Br.upf
F 19.00 F.upf
ATOMIC_POSITIONS crystal
Dy 0.000 0.000 0.000
Dy 0.333 0.667 0.392
As 0.667 0.333 0.193
Br 0.333 0.667 0.775
F 0.000 0.000 0.491
CELL_PARAMETERS angstrom
3.951 0.000 0.000
-1.975 3.421 0.000
0.000 0.000 8.352
```

symmetry = P3m1
uncorrected energy = -28.1 eV for the cell shown
M_tot = 0.00 μB/cell


No. 6
VASP calculation (PBE) on GdDyAsBr2 after structural relaxation. Values from VASP.

Cell and atoms, written as Quantum ESPRESSO input:
```
&SYSTEM
  ibrav = 0, nat = 5, ntyp = 4
/
ATOMIC_SPECIES
Gd 157.25 Gd.upf
Dy 162.50 Dy.upf
As 74.92 As.upf
Br 79.90 Br.upf
ATOMIC_POSITIONS crystal
Gd 0.000 0.000 0.000
Dy 0.333 0.667 0.316
As 0.667 0.333 0.160
Br 0.000 0.000 0.494
Br 0.333 0.667 0.820
CELL_PARAMETERS angstrom
4.076 0.000 0.000
-2.038 3.530 0.000
0.000 0.000 10.049
```

symmetry = P3m1
uncorrected energy = -25.8 eV for the cell shown
M_tot = 0.00 μB/cell


No. 7
VASP calculation (PBE) on DyHoAsBr2 after structural relaxation. Values from VASP.

Cell and atoms, written as Quantum ESPRESSO input:
```
&SYSTEM
  ibrav = 0, nat = 5, ntyp = 4
/
ATOMIC_SPECIES
Dy 162.50 Dy.upf
Ho 164.93 Ho.upf
As 74.92 As.upf
Br 79.90 Br.upf
ATOMIC_POSITIONS crystal
Dy 0.000 0.000 0.000
Ho 0.667 0.333 0.686
As 0.333 0.667 0.842
Br 0.000 0.000 0.508
Br 0.667 0.333 0.179
CELL_PARAMETERS angstrom
4.045 0.000 0.000
-2.023 3.503 0.000
0.000 0.000 10.009
```

symmetry = P3m1
uncorrected energy = -25.6 eV for the cell shown
M_tot = 0.00 μB/cell


No. 8
VASP calculation (PBE) on DyYAsBr2 after structural relaxation. Values from VASP.

Cell and atoms, written as Quantum ESPRESSO input:
```
&SYSTEM
  ibrav = 0, nat = 5, ntyp = 4
/
ATOMIC_SPECIES
Dy 162.50 Dy.upf
Y 88.91 Y.upf
As 74.92 As.upf
Br 79.90 Br.upf
ATOMIC_POSITIONS crystal
Dy 0.000 0.000 0.000
Y 0.667 0.333 0.683
As 0.333 0.667 0.842
Br 0.000 0.000 0.503
Br 0.667 0.333 0.179
CELL_PARAMETERS angstrom
4.061 0.000 0.000
-2.030 3.517 0.000
0.000 0.000 9.976
```

symmetry = P3m1
uncorrected energy = -27.6 eV for the cell shown
M_tot = 0.00 μB/cell